Material: RbTa3Ni
Method: DFT, PBE
State: optimized geometry

ρ ... 10.70 Mg/m³
Spin magnetization ... 1.23 μB per cell
Energy of formation from the pure elements ... 3.391 eV per atom
Distance to the lowest polymorph of the same formula ... 1836 meV per atom

POSCAR file:
```
RbTa3Ni
1.0
4.7425 0.0000 0.0000
0.0000 4.7425 0.0000
0.0000 0.0000 4.7425
Rb Ta Ni
1 3 1
direct
0.0000 0.0000 0.0000
0.5000 0.0000 0.0000
0.0000 0.5000 0.0000
0.0000 0.0000 0.5000
0.5000 0.5000 0.5000
```

***

Material: Pm2Zn3Cu4
Method: DFT, PBE
State: optimized geometry

ρ ... 7.75 Mg/m³
Spin magnetization ... 0.00 μB per cell
Energy of formation from the pure elements ... -0.196 eV per atom
Distance to the lowest polymorph of the same formula ... 35 meV per atom

POSCAR file:
```
Pm2Zn3Cu4
1.0
-2.7772 0.2868 -4.7582
1.3401 -7.3588 -1.2258
-5.0292 -1.9183 6.0180
Zn Cu Pm
6 8 4
direct
0.0000 0.0000 0.0000
0.4753 0.2500 0.4506
0.5000 0.5000 0.0000
0.9753 0.2500 0.4506
0.0247 0.7500 0.5494
0.5247 0.7500 0.5494
0.8090 0.2500 0.1179
0.3207 0.4827 0.6415
0.6793 0.5173 0.3585
0.1793 0.9827 0.3585
0.1910 0.7500 0.8821
0.6910 0.7500 0.8821
0.8207 0.0173 0.6415
0.3090 0.2500 0.1179
0.1129 0.5856 0.2258
0.6129 0.9144 0.2258
0.8871 0.4144 0.7742
0.3871 0.0856 0.7742
```